1.
# CdOs

A relaxed CdOs crystal (PBE, Alexandria via LeMat-Bulk).

The structure in POSCAR format:
```
CdOs
1.0
-0.678 3.393 3.613
-12.412 -6.869 4.121
4.178 -4.528 5.037
Cd Os
16 16
Direct
0.000 0.500 0.167
0.500 0.000 0.167
0.250 0.250 0.417
0.250 0.250 0.083
0.250 0.750 0.583
0.250 0.750 0.917
0.500 0.500 0.667
0.750 0.750 0.417
0.750 0.250 0.583
0.000 0.000 0.333
0.000 0.000 0.667
0.500 0.500 0.333
0.750 0.250 0.917
0.500 0.000 0.833
0.750 0.750 0.083
0.000 0.500 0.833
0.250 0.665 0.250
0.750 0.165 0.250
0.750 0.835 0.750
0.750 0.335 0.250
0.250 0.335 0.750
0.000 0.415 0.500
0.500 0.915 0.500
0.750 0.665 0.750
0.500 0.585 0.000
0.500 0.415 0.000
0.250 0.165 0.750
0.250 0.835 0.250
0.000 0.085 0.000
0.000 0.915 0.000
0.000 0.585 0.500
0.500 0.085 0.500
```

Output
formation enthalpy at 0 K = 1.294 eV per formula unit


2.
# TaNbPb2

A relaxed TaNbPb2 crystal (PBE, Alexandria via LeMat-Bulk).

The structure in POSCAR format:
```
TaNbPb2
1.0
0.000 3.489 3.489
3.489 0.000 3.489
3.489 3.489 0.000
Nb Pb Ta
1 2 1
Direct
0.000 0.000 0.000
0.250 0.250 0.250
0.750 0.750 0.750
0.500 0.500 0.500
```

Output
formation enthalpy at 0 K = 2.534 eV per formula unit


3.
# CaSiTeN2

A relaxed CaSiTeN2 crystal (PBE, Alexandria via LeMat-Bulk).

The structure in POSCAR format:
```
CaSiTeN2
1.0
3.912 0.000 0.000
0.000 3.912 0.000
0.000 0.000 5.542
N Te Si Ca
2 1 1 1
Direct
0.000 0.500 0.000
0.500 0.000 0.000
0.000 0.000 0.500
0.000 0.000 0.000
0.500 0.500 0.500
```

Output
formation energy from raw total energies = 0.373 eV per atom


4.
# Pm6ZnNi2I3

A relaxed Pm6ZnNi2I3 crystal (PBE, Alexandria via LeMat-Bulk).

The structure in POSCAR format:
```
Pm6ZnNi2I3
1.0
7.212 0.023 0.004
-3.585 6.259 0.004
-1.206 -2.087 7.945
Pm I Ni Zn
6 3 2 1
Direct
0.294 0.294 0.812
0.423 0.067 0.194
0.933 0.577 0.806
0.577 0.933 0.806
0.067 0.423 0.194
0.706 0.706 0.188
0.161 0.839 0.500
0.500 0.500 0.500
0.839 0.161 0.500
0.669 0.331 0.000
0.331 0.669 0.000
0.000 0.000 0.000
```

Output
formation energy from raw total energies = -0.608 eV per atom


5.
# CaRh2Br

A relaxed CaRh2Br crystal (PBE, Alexandria via LeMat-Bulk).

The structure in POSCAR format:
```
CaRh2Br
1.0
5.015 0.000 0.000
0.000 3.333 0.016
0.000 -0.022 4.731
Rh Br Ca
2 1 1
Direct
0.000 0.117 0.998
0.000 0.383 0.502
0.500 0.250 0.250
0.500 0.750 0.750
```

Output
formation energy from raw total energies = -0.063 eV per atom


6.
# NaC

A relaxed NaC crystal (PBE, Alexandria via LeMat-Bulk).

The structure in POSCAR format:
```
NaC
1.0
3.521 0.000 0.000
0.000 3.521 0.000
0.000 0.000 1.923
C Na
1 1
Direct
0.000 0.000 0.000
0.500 0.500 0.500
```

Output
formation enthalpy at 0 K = 4.052 eV per formula unit


DOS at the Fermi energy in states/eV/f.u., matching the order above: 1.13; 3.34; 2.39; 12.90; 3.96; 0.48
DFT total energy in eV per atom, matching the order above: -5.425; -6.701; -5.071; -4.441; -4.657; -3.245